The following is a PBE-GGA calculation of crystalline Cd2In2Hg7Pb at its relaxed geometry, from Alexandria.

abc: 5.368 5.532 11.273
angles: 104.20 103.77 90.00
Positions (direct):
Cd  0.751  0.252  0.502
Cd  0.249  0.750  0.498
Hg  0.589  0.089  0.177
Hg  0.500  0.499  0.000
Hg  0.411  0.912  0.823
Hg  0.087  0.586  0.173
Hg  0.174  0.174  0.348
Hg  0.826  0.826  0.652
Hg  0.913  0.412  0.827
Pb  0.000  0.998  0.000
In  0.334  0.335  0.668
In  0.666  0.667  0.332

- Formation energy from the elements: 0.04 eV/atom
- SG: Imm2, No. 44
- Final energy: -1.054 eV per atom

=====

The following is a PBE-GGA calculation of crystalline Sc2Ga2Ni3 at its relaxed geometry, from Alexandria.

abc: 4.182 4.179 7.633
angles: 89.99 105.91 119.98
Positions (direct):
Sc  0.758  0.879  0.636
Sc  0.242  0.121  0.364
Ni  0.524  0.262  0.785
Ni  0.000  0.000  0.000
Ni  0.476  0.738  0.215
Ga  0.240  0.620  0.860
Ga  0.760  0.380  0.140

- Formation energy from the elements: -0.44 eV/atom
- SG: R-3m, No. 166
- Final energy: -5.593 eV per atom

=====

The following is a PBE-GGA calculation of crystalline LiHfGa2S at its relaxed geometry, from Alexandria.

abc: 5.209 5.491 5.209
angles: 90.00 90.00 90.00
Last column: magnetic moment on the atom in μB.
Positions (direct):
Li  0.000  0.500  0.000  0.10
S  0.500  0.500  0.500  -0.03
Ga  0.500  0.000  0.000  0.05
Ga  0.000  0.000  0.500  0.03
Hf  0.000  0.000  0.000  0.64

- SG: P4/mmm, No. 123
- Formation energy without anion corrections: 984.0 meV per atom
- Final energy: -3.426 eV per atom

=====

The following is a PBE-GGA calculation of crystalline CrAgRh at its relaxed geometry, from Alexandria.

abc: 5.168 5.168 5.168
angles: 147.91 140.85 51.49
Last column: magnetic moment on the atom in μB.
Positions (direct):
Rh  0.690  0.690  0.000  -0.20
Ag  0.997  0.997  0.000  0.02
Cr  0.313  0.313  0.000  2.36

- Formation energy from the elements: 0.24 eV/atom
- SG: Imm2, No. 44
- Distance to the lowest polymorph of the same formula: 7 kJ/mol of formula units
- Final energy: -6.370 eV per atom

=====

The following is a PBE-GGA calculation of crystalline CsSrMg at its relaxed geometry, from Alexandria.

abc: 4.317 4.322 17.733
angles: 89.94 89.42 89.98
Positions (direct):
Cs  0.730  0.647  0.112
Cs  0.262  0.150  0.376
Mg  0.761  0.652  0.533
Mg  0.259  0.152  0.609
Sr  0.242  0.148  0.897
Sr  0.751  0.650  0.728

- Formation energy from the elements: 0.12 eV/atom
- SG: P1, No. 1
- Final energy: -1.254 eV per atom

=====

The following is a PBE-GGA calculation of crystalline Sm2Pd3Pt at its relaxed geometry, from Alexandria.

abc: 10.145 10.145 8.590
angles: 121.64 121.64 96.41
Positions (direct):
Pt  0.878  0.378  0.755
Pt  0.372  0.372  0.745
Pt  0.622  0.122  0.245
Pt  0.628  0.628  0.255
Pd  0.019  0.981  0.500
Pd  0.125  0.875  0.750
Pd  0.769  0.231  0.000
Pd  0.470  0.970  0.500
Pd  0.481  0.519  0.500
Pd  0.780  0.780  0.000
Pd  0.220  0.220  0.000
Pd  0.125  0.375  0.250
Pd  0.125  0.875  0.250
Pd  0.625  0.875  0.750
Pd  0.030  0.530  0.500
Pd  0.231  0.769  0.000
Sm  0.423  0.142  0.858
Sm  0.815  0.034  0.642
Sm  0.858  0.577  0.142
Sm  0.966  0.185  0.358
Sm  0.827  0.608  0.642
Sm  0.285  0.565  0.142
Sm  0.435  0.716  0.858
Sm  0.392  0.173  0.358

- Formation energy from the elements: -0.66 eV/atom
- SG: Fddd, No. 70
- Distance to the lowest polymorph of the same formula: 0 kJ/mol of formula units
- Final energy: -5.839 eV per atom

=====

The following is a PBE-GGA calculation of crystalline LiBeSe2 at its relaxed geometry, from Alexandria.

abc: 3.636 7.419 3.117
angles: 90.00 90.00 90.00
Positions (direct):
Se  0.500  0.500  0.000
Se  0.000  0.000  0.000
Be  0.500  0.000  0.500
Li  0.000  0.500  0.500

- SG: Pmmm, No. 47
- Formation energy without anion corrections: -187.1 meV per atom
- Final energy: -3.339 eV per atom

=====

The following is a PBE-GGA calculation of crystalline TlReAg2F8 at its relaxed geometry, from Alexandria.

abc: 5.229 5.229 8.678
angles: 90.00 90.00 120.00
Last column: magnetic moment on the atom in μB.
Positions (direct):
F  0.166  0.834  0.137  0.05
F  0.333  0.667  0.455  0.00
F  0.667  0.333  0.545  0.00
F  0.669  0.834  0.137  0.05
F  0.834  0.669  0.863  0.05
F  0.834  0.166  0.863  0.05
F  0.166  0.331  0.137  0.05
F  0.331  0.166  0.863  0.05
Tl  0.000  0.000  0.500  0.00
Re  0.000  0.000  0.000  1.56
Ag  0.333  0.667  0.704  0.00
Ag  0.667  0.333  0.296  0.00

- SG: P-3m1, No. 164
- Formation energy without anion corrections: -1564.0 meV per atom
- Final energy: -4.521 eV per atom

=====

The following is a PBE-GGA calculation of crystalline Co3AgGe at its relaxed geometry, from Alexandria.

abc: 4.631 4.631 4.631
angles: 90.00 90.00 90.00
Last column: magnetic moment on the atom in μB.
Positions (direct):
Co  0.500  0.000  0.000  1.34
Co  0.000  0.000  0.500  2.48
Co  0.000  0.500  0.000  1.90
Ge  0.500  0.500  0.500  -0.05
Ag  0.000  0.000  0.000  0.08

- Formation energy from the elements: 1.65 eV/atom
- SG: Pm-3m, No. 221
- Distance to the lowest polymorph of the same formula: 389 kJ/mol of formula units
- Final energy: -4.103 eV per atom

=====

The following is a PBE-GGA calculation of crystalline LaPmEuTm at its relaxed geometry, from Alexandria.

abc: 5.853 5.853 5.853
angles: 60.00 60.00 60.00
Last column: magnetic moment on the atom in μB.
Positions (direct):
Tm  0.750  0.750  0.750  0.11
La  0.000  0.000  0.000  0.10
Eu  0.250  0.250  0.250  6.86
Pm  0.500  0.500  0.500  0.09

- Formation energy from the elements: 0.12 eV/atom
- SG: F-43m, No. 216
- Final energy: -5.982 eV per atom

=====

The following is a PBE-GGA calculation of crystalline PrSc2Sb at its relaxed geometry, from Alexandria.

abc: 4.070 6.323 8.929
angles: 90.00 90.00 108.77
Last column: magnetic moment on the atom in μB.
Positions (direct):
Sc  0.861  0.722  0.957  0.08
Sc  0.139  0.278  0.043  0.08
Sc  0.861  0.722  0.543  0.08
Sc  0.139  0.278  0.457  0.08
Sb  0.734  0.469  0.250  0.00
Sb  0.266  0.531  0.750  0.00
Pr  0.449  0.898  0.250  0.06
Pr  0.551  0.102  0.750  0.06

- SG: Cmcm, No. 63
- Distance to the lowest polymorph of the same formula: 0 kJ/mol of formula units
- Formation energy without anion corrections: -557.2 meV per atom
- Final energy: -5.948 eV per atom

=====

The following is a PBE-GGA calculation of crystalline Ac3PtPbI at its relaxed geometry, from Alexandria.

abc: 4.345 8.557 13.185
angles: 111.23 90.00 90.00
Positions (direct):
Pt  0.250  0.707  0.099
Pt  0.750  0.293  0.901
I  0.250  0.140  0.634
I  0.750  0.860  0.366
Ac  0.750  0.293  0.494
Ac  0.250  0.526  0.861
Ac  0.250  0.038  0.869
Ac  0.750  0.962  0.131
Ac  0.750  0.474  0.139
Ac  0.250  0.707  0.506
Pb  0.250  0.311  0.295
Pb  0.750  0.689  0.705

- SG: P2_1/m, No. 11
- Formation energy without anion corrections: -816.7 meV per atom
- Final energy: -4.754 eV per atom

=====

The following is a PBE-GGA calculation of crystalline Sm3Ho2Ir2 at its relaxed geometry, from Alexandria.

abc: 3.911 6.389 8.563
angles: 100.84 103.17 107.86
Positions (direct):
Ir  0.052  0.868  0.235
Ir  0.948  0.132  0.765
Ho  0.358  0.528  0.188
Ho  0.642  0.472  0.812
Sm  0.812  0.195  0.429
Sm  0.500  0.000  0.000
Sm  0.188  0.805  0.571

- Formation energy from the elements: -0.57 eV/atom
- SG: C2/m, No. 12
- Final energy: -6.430 eV per atom

=====

The following is a PBE-GGA calculation of crystalline La3PtN at its relaxed geometry, from Alexandria.

abc: 6.992 8.868 8.868
angles: 75.89 81.47 81.47
Positions (direct):
La  0.378  0.468  0.285
La  0.622  0.532  0.715
La  0.449  0.811  0.979
La  0.452  0.141  0.657
La  0.878  0.285  0.468
La  0.048  0.343  0.859
La  0.949  0.979  0.811
La  0.952  0.657  0.141
La  0.548  0.859  0.343
La  0.551  0.189  0.021
La  0.051  0.021  0.189
La  0.122  0.715  0.532
N  0.250  0.083  0.917
N  0.750  0.917  0.083
N  0.250  0.748  0.252
N  0.750  0.252  0.748
Pt  0.250  0.115  0.407
Pt  0.750  0.407  0.115
Pt  0.750  0.885  0.593
Pt  0.250  0.593  0.885

- SG: C2/c, No. 15
- Distance to the lowest polymorph of the same formula: 0 kJ/mol of formula units
- Formation energy without anion corrections: -929.8 meV per atom
- Final energy: -6.759 eV per atom

=====

The following is a PBE-GGA calculation of crystalline HoMg2 at its relaxed geometry, from Alexandria.

abc: 3.418 3.418 7.049
angles: 104.03 104.03 90.00
Positions (direct):
Mg  0.675  0.675  0.350
Mg  0.325  0.325  0.650
Ho  0.000  0.000  0.000

- Formation energy from the elements: -0.04 eV/atom
- SG: I4/mmm, No. 139
- Final energy: -2.628 eV per atom

=====

The following is a PBE-GGA calculation of crystalline HfSc5Co6 at its relaxed geometry, from Alexandria.

abc: 4.417 6.277 6.984
angles: 90.00 71.56 90.00
Last column: magnetic moment on the atom in μB.
Positions (direct):
Sc  0.333  0.500  0.334  -0.14
Sc  0.667  0.500  0.666  -0.14
Sc  0.000  0.500  0.000  -0.13
Sc  0.668  0.000  0.663  -0.13
Sc  0.332  0.000  0.337  -0.13
Co  0.164  0.248  0.672  0.51
Co  0.164  0.752  0.672  0.51
Co  0.836  0.248  0.328  0.51
Co  0.836  0.752  0.328  0.51
Co  0.500  0.756  0.000  0.51
Co  0.500  0.244  0.000  0.51
Hf  0.000  0.000  0.000  -0.16

- Formation energy from the elements: -0.38 eV/atom
- SG: Cmmm, No. 65
- Final energy: -7.404 eV per atom

=====

The following is a PBE-GGA calculation of crystalline HgP at its relaxed geometry, from Alexandria.

abc: 3.202 5.662 10.910
angles: 90.00 90.00 90.00
Positions (direct):
P  0.750  0.500  0.068
P  0.250  0.000  0.432
P  0.250  0.500  0.932
P  0.750  0.000  0.568
Hg  0.750  0.000  0.130
Hg  0.250  0.000  0.870
Hg  0.750  0.500  0.630
Hg  0.250  0.500  0.370

- Formation energy from the elements: 0.14 eV/atom
- SG: Cmcm, No. 63
- Distance to the lowest polymorph of the same formula: 22 kJ/mol of formula units
- Final energy: -2.711 eV per atom

=====

The following is a PBE-GGA calculation of crystalline La3Sm4Tl2 at its relaxed geometry, from Alexandria.

abc: 6.595 9.618 9.618
angles: 91.53 85.91 85.91
Positions (direct):
Tl  0.540  0.220  0.367
Tl  0.960  0.633  0.780
Tl  0.040  0.367  0.220
Tl  0.460  0.780  0.633
Sm  0.421  0.890  0.323
Sm  0.583  0.518  0.174
Sm  0.079  0.677  0.110
Sm  0.579  0.110  0.677
Sm  0.083  0.174  0.518
Sm  0.417  0.482  0.826
Sm  0.921  0.323  0.890
Sm  0.917  0.826  0.482
La  0.410  0.176  0.043
La  0.910  0.043  0.176
La  0.590  0.824  0.957
La  0.250  0.532  0.468
La  0.750  0.468  0.532
La  0.090  0.957  0.824

- Formation energy from the elements: -0.09 eV/atom
- SG: C2/c, No. 15
- Final energy: -4.354 eV per atom

=====

The following is a PBE-GGA calculation of crystalline TaSbRh2 at its relaxed geometry, from Alexandria.

abc: 4.950 4.950 4.720
angles: 81.52 81.52 36.58
Positions (direct):
Rh  0.001  0.001  0.972
Rh  0.254  0.254  0.264
Sb  0.505  0.505  0.460
Ta  0.740  0.740  0.804

- SG: Cm, No. 8
- Formation energy without anion corrections: -269.5 meV per atom
- Final energy: -7.939 eV per atom

=====

The following is a PBE-GGA calculation of crystalline Pr2Sm3ThSe6 at its relaxed geometry, from Alexandria.

abc: 4.197 8.448 9.415
angles: 103.31 102.88 90.00
Positions (direct):
Sm  0.500  0.500  0.000
Sm  0.167  0.835  0.335
Sm  0.833  0.165  0.665
Se  0.332  0.922  0.665
Se  0.997  0.252  0.994
Se  0.666  0.588  0.332
Se  0.334  0.412  0.668
Se  0.668  0.078  0.335
Se  0.003  0.748  0.006
Th  0.500  0.000  0.000
Pr  0.165  0.331  0.330
Pr  0.835  0.669  0.670

- SG: C2/m, No. 12
- Formation energy without anion corrections: -1771.8 meV per atom
- Final energy: -6.109 eV per atom

=====

The following is a PBE-GGA calculation of crystalline LiReAs2 at its relaxed geometry, from Alexandria.

abc: 5.158 5.158 5.158
angles: 137.56 137.56 61.58
Last column: magnetic moment on the atom in μB.
Positions (direct):
Li  0.500  0.500  0.000  0.00
Re  0.750  0.250  0.500  0.77
As  0.250  0.750  0.500  0.01
As  0.000  0.000  0.000  -0.01

- Formation energy from the elements: 0.27 eV/atom
- SG: I-4m2, No. 119
- Distance to the lowest polymorph of the same formula: 178 kJ/mol of formula units
- Final energy: -5.641 eV per atom

=====

The following is a PBE-GGA calculation of crystalline CsIn2Ag at its relaxed geometry, from Alexandria.

abc: 3.595 3.595 9.372
angles: 90.00 90.00 90.00
Positions (direct):
Ag  0.500  0.500  0.000
In  0.000  0.000  0.178
In  0.000  0.000  0.822
Cs  0.500  0.500  0.500

- Formation energy from the elements: -0.01 eV/atom
- SG: P4/mmm, No. 123
- Distance to the lowest polymorph of the same formula: 31 kJ/mol of formula units
- Final energy: -2.301 eV per atom

=====

The following is a PBE-GGA calculation of crystalline ErTh2ReN5 at its relaxed geometry, from Alexandria.

abc: 5.866 6.793 6.793
angles: 90.00 90.00 90.00
Positions (direct):
N  0.768  0.645  0.855
N  0.768  0.355  0.145
N  0.500  0.000  0.000
N  0.500  0.500  0.500
N  0.232  0.145  0.645
N  0.768  0.855  0.355
N  0.232  0.645  0.855
N  0.232  0.355  0.145
N  0.232  0.855  0.355
N  0.768  0.145  0.645
Th  0.500  0.827  0.673
Th  0.500  0.173  0.327
Th  0.500  0.673  0.173
Th  0.500  0.327  0.827
Er  0.000  0.500  0.500
Er  0.000  0.000  0.000
Re  0.000  0.000  0.500
Re  0.000  0.500  0.000

- SG: P4/mbm, No. 127
- Formation energy without anion corrections: -956.5 meV per atom
- Final energy: -9.121 eV per atom